! FeSi PBE relaxed; values from VASP
&SYSTEM
  ibrav = 0, nat = 2, ntyp = 2
/
ATOMIC_SPECIES
Si 28.09 Si.upf
Fe 55.84 Fe.upf
CELL_PARAMETERS angstrom
3.6475 0.0000 0.0000
1.8238 3.1588 0.0000
1.8238 1.0529 2.9782
ATOMIC_POSITIONS angstrom
Si 5.4713 3.1588 2.2336
Fe 0.0000 0.0000 0.0000
! Space-group type: F-43m, No. 216
! Volume (Å³/atom): 17.16
! Formation energy without anion corrections (meV per atom): 727.5